No. 1
Crystalline Sm3Mg2Sn4 at its relaxed geometry, computed with PBE.

Computed properties:
Symmetry: P-1, No. 2
Energy in eV/cell: -38.4
Theoretical density in Mg/m³: 6.448
Magnetization in μB/f.u.: 0.00
N(E_F) in states/eV per atom: 0.35

abc: 4.673 7.060 8.468
angles: 109.99 105.99 90.05
Fractional positions:
Sm1 0.129 0.606 0.259
Sm2 0.871 0.394 0.741
Sm3 0.000 0.000 0.000
Mg1 0.672 0.998 0.342
Mg2 0.328 0.002 0.658
Sn1 0.490 0.696 0.981
Sn2 0.217 0.256 0.432
Sn3 0.510 0.304 0.019
Sn4 0.783 0.744 0.568

No. 2
Crystalline Sm2MgSn9 at its relaxed geometry, computed with PBE.

Computed properties:
Symmetry: P4/mmm, No. 123
Energy in eV/cell: -51.0
Theoretical density in Mg/m³: 7.260
Magnetization in μB/f.u.: 0.00
N(E_F) in states/eV per atom: 0.33

abc: 4.656 4.656 14.702
angles: 90.00 90.00 90.00
Fractional positions:
Sm1 0.000 0.000 0.339
Sm2 0.000 0.000 0.661
Mg1 0.000 0.000 0.000
Sn1 0.500 0.500 0.000
Sn2 0.500 0.500 0.328
Sn3 0.500 0.500 0.672
Sn4 0.500 0.000 0.162
Sn5 0.500 0.000 0.500
Sn6 0.500 0.000 0.838
Sn7 0.000 0.500 0.162
Sn8 0.000 0.500 0.500
Sn9 0.000 0.500 0.838

What did the first record say?
Crystalline Sm3Mg2Sn4 at its relaxed geometry, computed with PBE.

Computed properties:
Symmetry: P-1, No. 2
Energy in eV/cell: -38.4
Theoretical density in Mg/m³: 6.448
Magnetization in μB/f.u.: 0.00
N(E_F) in states/eV per atom: 0.35

abc: 4.673 7.060 8.468
angles: 109.99 105.99 90.05
Fractional positions:
Sm1 0.129 0.606 0.259
Sm2 0.871 0.394 0.741
Sm3 0.000 0.000 0.000
Mg1 0.672 0.998 0.342
Mg2 0.328 0.002 0.658
Sn1 0.490 0.696 0.981
Sn2 0.217 0.256 0.432
Sn3 0.510 0.304 0.019
Sn4 0.783 0.744 0.568

Q: Number 2 is which compound?
A: Sm2MgSn9

Q: Which formula does entry 2 have?
A: Sm2MgSn9